[1]
This record from Alexandria describes a relaxed HfTa3I crystal. The functional is PBE-GGA.

Values from the calculation:
* E_form (uncorrected): 9.95 eV per formula unit
* DOS at the Fermi energy: 4.83 states/eV/f.u.
* final energy: -7.42 eV per atom
* offset from the most stable computed form: 0.81 eV/f.u.

Cell lengths 5.030, 5.030, 5.030 Å; angles 90.00, 90.00, 90.00 degrees
Fractional coordinates of all 5 atoms:
Ta  0.000  0.000  0.500
Ta  0.500  0.000  0.000
Ta  0.000  0.500  0.000
Hf  0.000  0.000  0.000
I  0.500  0.500  0.500


[2]
This record from Alexandria describes a relaxed Hf3TaI crystal. The functional is PBE-GGA.

Values from the calculation:
* E_form (uncorrected): 7.49 eV per formula unit
* DOS at the Fermi energy: 5.81 states/eV/f.u.
* final energy: -7.15 eV per atom
* offset from the most stable computed form: 2.08 eV/f.u.

Cell lengths 5.085, 5.085, 5.085 Å; angles 90.00, 90.00, 90.00 degrees
Fractional coordinates of all 5 atoms:
Hf  0.000  0.000  0.500
Hf  0.500  0.000  0.000
Hf  0.000  0.500  0.000
Ta  0.500  0.500  0.500
I  0.000  0.000  0.000


[3]
This record from Alexandria describes a relaxed Hf2TaI crystal. The functional is PBE-GGA.

Values from the calculation:
* E_form (uncorrected): 2.20 eV per formula unit
* DOS at the Fermi energy: 6.03 states/eV/f.u.
* final energy: -7.78 eV per atom
* offset from the most stable computed form: 0.00 eV/f.u.

Cell lengths 4.964, 4.964, 4.964 Å; angles 60.00, 60.00, 60.00 degrees
Fractional coordinates of all 4 atoms:
I  0.000  0.000  0.000
Ta  0.500  0.500  0.500
Hf  0.250  0.250  0.250
Hf  0.750  0.750  0.750


[4]
This record from Alexandria describes a relaxed HfTaTe2I crystal. The functional is PBE-GGA.

Values from the calculation:
* E_form (uncorrected): 3.87 eV per formula unit
* DOS at the Fermi energy: 5.58 states/eV/f.u.
* final energy: -5.15 eV per atom
* offset from the most stable computed form: 0.00 eV/f.u.

Cell lengths 5.411, 5.411, 5.387 Å; angles 90.00, 90.00, 90.00 degrees
Fractional coordinates of all 5 atoms:
Ta  0.000  0.000  0.000
Hf  0.500  0.500  0.500
Te  0.500  0.000  0.000
Te  0.000  0.500  0.000
I  0.000  0.000  0.500


[5]
This record from Alexandria describes a relaxed HfTaTe2I crystal. The functional is PBE-GGA.

Values from the calculation:
* E_form (uncorrected): 9.00 eV per formula unit
* DOS at the Fermi energy: 5.87 states/eV/f.u.
* final energy: -4.13 eV per atom
* offset from the most stable computed form: 5.13 eV/f.u.

Cell lengths 5.683, 5.048, 5.683 Å; angles 90.00, 90.00, 90.00 degrees
Fractional coordinates of all 5 atoms:
Ta  0.000  0.500  0.000
Te  0.000  0.000  0.500
Te  0.500  0.000  0.000
I  0.000  0.000  0.000
Hf  0.500  0.500  0.500


[6]
This record from Alexandria describes a relaxed Hf2TaTiI crystal. The functional is PBE-GGA.

Values from the calculation:
* E_form (uncorrected): 7.02 eV per formula unit
* DOS at the Fermi energy: 4.98 states/eV/f.u.
* final energy: -6.84 eV per atom

Cell lengths 5.132, 5.353, 5.132 Å; angles 90.00, 90.00, 90.00 degrees
Fractional coordinates of all 5 atoms:
Hf  0.500  0.000  0.000
Hf  0.000  0.000  0.500
Ta  0.000  0.000  0.000
I  0.000  0.500  0.000
Ti  0.500  0.500  0.500


[7]
This record from Alexandria describes a relaxed Hf2TaTlI crystal. The functional is PBE-GGA.

Values from the calculation:
* E_form (uncorrected): 10.61 eV per formula unit
* DOS at the Fermi energy: 10.78 states/eV/f.u.
* final energy: -5.01 eV per atom

Cell lengths 5.314, 5.573, 5.314 Å; angles 90.00, 90.00, 90.00 degrees
Fractional coordinates of all 5 atoms:
Tl  0.000  0.000  0.000
Ta  0.500  0.500  0.500
I  0.000  0.500  0.000
Hf  0.000  0.000  0.500
Hf  0.500  0.000  0.000


[8]
This record from Alexandria describes a relaxed HfZr2TaI crystal. The functional is PBE-GGA.

Values from the calculation:
* E_form (uncorrected): 8.44 eV per formula unit
* DOS at the Fermi energy: 6.75 states/eV/f.u.
* final energy: -6.40 eV per atom

Cell lengths 5.221, 5.221, 5.222 Å; angles 90.00, 90.00, 90.00 degrees
Fractional coordinates of all 5 atoms:
I  0.000  0.000  0.500
Zr  0.000  0.500  0.000
Zr  0.500  0.000  0.000
Ta  0.500  0.500  0.500
Hf  0.000  0.000  0.000